(1)
A relaxed Tb6InPt2 crystal. Source: Alexandria, functional PBE.

Unit cell a=8.6153 b=8.6153 c=8.6153 alpha=104.37 beta=110.75 gamma=113.42
Closest atoms and distances in Å follow each position.
Atoms (fractional coordinates):
Tb: 0.8914 0.7088 0.1826  3 Pt 3.02-3.16, 1 In 3.28
Tb: 0.7993 0.7642 0.5635  1 Pt 2.84, 1 In 3.17
Tb: 0.2007 0.7642 0.9648  1 Pt 2.84, 1 In 3.17
Tb: 0.3035 0.6331 0.3296  3 Pt 2.78-3.02
Tb: 0.3035 0.9740 0.6704  3 Pt 2.78-3.02
Tb: 0.6965 0.0260 0.3296  3 Pt 2.78-3.02
Tb: 0.7993 0.2358 0.0352  1 Pt 2.84, 1 In 3.17
Tb: 0.5261 0.7088 0.8174  3 Pt 3.02-3.16, 1 In 3.28
Tb: 0.4739 0.2912 0.1826  3 Pt 3.02-3.16, 1 In 3.28
Tb: 0.6965 0.3669 0.6704  3 Pt 2.78-3.02
Tb: 0.2007 0.2358 0.4365  1 Pt 2.84, 1 In 3.17
Tb: 0.1086 0.2912 0.8174  3 Pt 3.02-3.16, 1 In 3.28
Pt: 0.5000 0.3659 0.8659  6 Tb 2.78-3.02, 1 Pt 2.83
Pt: 0.3400 0.0000 0.3400  8 Tb 2.84-3.16, 1 Pt 3.13
Pt: 0.6600 0.0000 0.6600  8 Tb 2.84-3.16, 1 Pt 3.13
Pt: 0.5000 0.6341 0.1341  6 Tb 2.78-3.02, 1 Pt 2.83
In: 0.0000 0.5000 0.5000  12 Tb 3.39-3.68
In: 0.0000 0.0000 0.0000  8 Tb 3.17-3.28, 2 Pt 3.33

VASP energy, eV per cell: -98.3
Mass density, g/cm3: 9.904
Energy of formation, eV/atom: -0.728

(2)
A relaxed Tb3InPt8 crystal. Source: Alexandria, functional PBE.

Unit cell a=5.4370 b=5.4370 c=9.4027 alpha=73.19 beta=73.19 gamma=60.00
Closest atoms and distances in Å follow each position.
Atoms (fractional coordinates):
Pt: 0.4380 0.4380 0.1824  6 Pt 2.70-2.74
Pt: 0.6883 0.6883 0.9351  6 Pt 2.69-2.70
Pt: 0.4354 0.9378 0.6890  6 Pt 2.69-2.74
Pt: 0.4380 0.9416 0.1824  6 Pt 2.70-2.74
Pt: 0.9378 0.9378 0.6890  6 Pt 2.69-2.74
Pt: 0.9416 0.4380 0.1824  6 Pt 2.70-2.74
Pt: 0.9378 0.4354 0.6890  6 Pt 2.69-2.74
Pt: 0.1884 0.1884 0.4348  6 Pt 2.73-2.74
Tb: 0.3772 0.3772 0.8684  12 Pt 3.15-3.19, 4 Tb 3.41
Tb: 0.5055 0.5055 0.4834  12 Pt 3.10-3.27, 3 In 3.24, 1 Tb 3.41
Tb: 0.9934 0.9934 0.0199  12 Pt 3.08-3.32, 1 In 3.32, 3 Tb 3.41
In: 0.8686 0.8686 0.3943  12 Pt 3.05-3.30, 4 Tb 3.24-3.32

VASP energy, eV per cell: -76.7
Mass density, g/cm3: 15.751
Energy of formation, eV/atom: -0.981

(3)
A relaxed Tb2In16Pt7 crystal. Source: Alexandria, functional PBE.

Unit cell a=11.8671 b=11.8671 c=4.4754 alpha=90.00 beta=90.00 gamma=117.67
Closest atoms and distances in Å follow each position.
Atoms (fractional coordinates):
Pt: 0.5000 0.5000 0.5000  8 In 2.76-2.80
Pt: 0.8835 0.6680 0.0000  7 In 2.78-2.91
Pt: 0.1165 0.3320 0.0000  7 In 2.78-2.91
Pt: 0.2755 0.7245 0.5000  8 In 2.76-2.78
Pt: 0.3320 0.1165 0.0000  7 In 2.78-2.91
Pt: 0.7245 0.2755 0.5000  8 In 2.76-2.78
Pt: 0.6680 0.8835 0.0000  7 In 2.78-2.91
In: 0.2868 0.9620 0.5000  3 Pt 2.76-2.78, 1 In 3.06
In: 0.2561 0.4824 0.5000  4 Pt 2.77-2.86
In: 0.1425 0.5878 0.0000  3 Pt 2.78-2.91, 1 In 3.04
In: 0.6316 0.6316 0.0000  4 Pt 2.76-2.81
In: 0.4122 0.8575 0.0000  3 Pt 2.78-2.91, 1 In 3.04
In: 0.9620 0.2868 0.5000  3 Pt 2.76-2.78, 1 In 3.06
In: 0.9270 0.0730 0.0000  2 Pt 2.84, 1 In 2.97
In: 0.3684 0.3684 0.0000  4 Pt 2.76-2.81
In: 0.8575 0.4122 0.0000  3 Pt 2.78-2.91, 1 In 3.04
In: 0.5176 0.7439 0.5000  4 Pt 2.77-2.86
In: 0.7132 0.0380 0.5000  3 Pt 2.76-2.78, 1 In 3.06
In: 0.7439 0.5176 0.5000  4 Pt 2.77-2.86
In: 0.5878 0.1425 0.0000  3 Pt 2.78-2.91, 1 In 3.04
In: 0.4824 0.2561 0.5000  4 Pt 2.77-2.86
In: 0.0730 0.9270 0.0000  2 Pt 2.84, 1 In 2.97
In: 0.0380 0.7132 0.5000  3 Pt 2.76-2.78, 1 In 3.06
Tb: 0.8304 0.8304 0.5000  4 Pt 3.20, 10 In 3.31-3.40
Tb: 0.1696 0.1696 0.5000  4 Pt 3.20, 10 In 3.31-3.40

VASP energy, eV per cell: -108.6
Mass density, g/cm3: 10.474
Energy of formation, eV/atom: -0.529

(4)
A relaxed TbInPt2 crystal. Source: Alexandria, functional PBE.

Unit cell a=4.5901 b=4.5901 c=9.0624 alpha=90.00 beta=90.00 gamma=120.00
Closest atoms and distances in Å follow each position.
Atoms (fractional coordinates):
Tb: 0.6667 0.3333 0.7500  8 Pt 3.02-3.09
Tb: 0.3333 0.6667 0.2500  8 Pt 3.02-3.09
In: 0.0000 0.0000 0.5000  6 Pt 2.78
In: 0.0000 0.0000 0.0000  6 Pt 2.78
Pt: 0.3333 0.6667 0.5909  3 In 2.78, 1 Pt 2.88, 4 Tb 3.02-3.09
Pt: 0.3333 0.6667 0.9091  3 In 2.78, 1 Pt 2.88, 4 Tb 3.02-3.09
Pt: 0.6667 0.3333 0.4091  3 In 2.78, 1 Pt 2.88, 4 Tb 3.02-3.09
Pt: 0.6667 0.3333 0.0909  3 In 2.78, 1 Pt 2.88, 4 Tb 3.02-3.09

VASP energy, eV per cell: -46.7
Mass density, g/cm3: 13.334
Energy of formation, eV/atom: -0.974

(5)
A relaxed TbInPt2 crystal. Source: Alexandria, functional PBE.

Unit cell a=3.4918 b=3.4918 c=6.5342 alpha=90.00 beta=90.00 gamma=90.00
Closest atoms and distances in Å follow each position.
Atoms (fractional coordinates):
In: 0.5000 0.5000 0.0000  8 Pt 2.91
Pt: 0.0000 0.0000 0.2345  4 In 2.91, 4 Tb 3.02, 1 Pt 3.06
Pt: 0.0000 0.0000 0.7655  4 In 2.91, 4 Tb 3.02, 1 Pt 3.06
Tb: 0.5000 0.5000 0.5000  8 Pt 3.02, 2 In 3.27

VASP energy, eV per cell: -22.8
Mass density, g/cm3: 13.838
Energy of formation, eV/atom: -0.849

(6)
A relaxed Tb8In2Pt crystal. Source: Alexandria, functional PBE.

Unit cell a=5.0897 b=6.7245 c=9.8814 alpha=103.50 beta=104.92 gamma=90.00
Closest atoms and distances in Å follow each position.
Atoms (fractional coordinates):
In: 0.1840 0.7532 0.3681  9 Tb 3.14-3.46
In: 0.8160 0.2468 0.6319  9 Tb 3.14-3.46
Tb: 0.4094 0.5454 0.8188  1 Pt 3.13, 3 Tb 3.42-3.47, 2 In 3.46
Tb: 0.3527 0.0152 0.7054  1 Pt 2.84, 2 In 3.15
Tb: 0.2123 0.3126 0.4246  3 In 3.14-3.32, 2 Tb 3.40
Tb: 0.9810 0.2215 0.9620  2 Pt 3.01, 1 In 3.20, 1 Tb 3.23
Tb: 0.7877 0.6874 0.5754  3 In 3.14-3.32, 2 Tb 3.40
Tb: 0.5906 0.4546 0.1812  1 Pt 3.13, 3 Tb 3.42-3.47, 2 In 3.46
Tb: 0.0190 0.7785 0.0380  2 Pt 3.01, 1 In 3.20, 1 Tb 3.23
Tb: 0.6473 0.9848 0.2946  1 Pt 2.84, 2 In 3.15
Pt: 0.5000 0.0000 0.0000  8 Tb 2.84-3.13

VASP energy, eV per cell: -52.9
Mass density, g/cm3: 8.882
Energy of formation, eV/atom: -0.391

(7)
A relaxed Tb5In2Pt2 crystal. Source: Alexandria, functional PBE.

Unit cell a=7.2999 b=8.4026 c=8.9278 alpha=118.07 beta=90.00 gamma=90.00
Closest atoms and distances in Å follow each position.
Atoms (fractional coordinates):
Tb: 0.6588 0.3007 0.2408  3 Pt 2.90-3.19, 1 In 3.23
Tb: 0.1588 0.4400 0.2408  3 Pt 2.90-3.19, 1 In 3.23
Tb: 0.6588 0.0600 0.7592  3 Pt 2.90-3.19, 1 In 3.23
Tb: 0.8412 0.8007 0.2408  3 Pt 2.90-3.19, 1 In 3.23
Tb: 0.0000 0.0000 0.0000  2 Pt 2.86
Tb: 0.3412 0.6993 0.7592  3 Pt 2.90-3.19, 1 In 3.23
Tb: 0.8412 0.5600 0.7592  3 Pt 2.90-3.19, 1 In 3.23
Tb: 0.1588 0.1993 0.7592  3 Pt 2.90-3.19, 1 In 3.23
Tb: 0.5000 0.5000 0.0000  2 Pt 2.86
Tb: 0.3412 0.9400 0.2408  3 Pt 2.90-3.19, 1 In 3.23
In: 0.0000 0.2143 0.4287  7 Tb 3.23-3.38
In: 0.5000 0.2857 0.5713  7 Tb 3.23-3.38
In: 0.5000 0.7143 0.4287  7 Tb 3.23-3.38
In: 0.0000 0.7857 0.5713  7 Tb 3.23-3.38
Pt: 0.8650 0.3752 0.0000  7 Tb 2.86-3.19, 1 Pt 2.88
Pt: 0.1350 0.6248 0.0000  7 Tb 2.86-3.19, 1 Pt 2.88
Pt: 0.6350 0.8752 0.0000  7 Tb 2.86-3.19, 1 Pt 2.88
Pt: 0.3650 0.1248 0.0000  7 Tb 2.86-3.19, 1 Pt 2.88

VASP energy, eV per cell: -94.9
Mass density, g/cm3: 9.722
Energy of formation, eV/atom: -0.749

(8)
A relaxed Tb2InPt9 crystal. Source: Alexandria, functional PBE.

Unit cell a=4.1102 b=4.1102 c=12.2755 alpha=90.00 beta=90.00 gamma=90.00
Closest atoms and distances in Å follow each position.
Atoms (fractional coordinates):
Pt: 0.5000 0.5000 0.3303  4 Tb 2.91, 8 Pt 2.91-2.93
Pt: 0.5000 0.5000 0.0000  8 Pt 2.86, 4 In 2.91
Pt: 0.5000 0.0000 0.1619  2 In 2.86, 8 Pt 2.86-2.91, 2 Tb 2.93
Pt: 0.5000 0.0000 0.5000  8 Pt 2.91-2.93, 4 Tb 2.91
Pt: 0.0000 0.5000 0.1619  2 In 2.86, 8 Pt 2.86-2.91, 2 Tb 2.93
Pt: 0.5000 0.0000 0.8381  8 Pt 2.86-2.91, 2 In 2.86, 2 Tb 2.93
Pt: 0.5000 0.5000 0.6697  4 Tb 2.91, 8 Pt 2.91-2.93
Pt: 0.0000 0.5000 0.8381  8 Pt 2.86-2.91, 2 In 2.86, 2 Tb 2.93
Pt: 0.0000 0.5000 0.5000  8 Pt 2.91-2.93, 4 Tb 2.91
Tb: 0.0000 0.0000 0.6682  12 Pt 2.91-2.93
Tb: 0.0000 0.0000 0.3318  12 Pt 2.91-2.93
In: 0.0000 0.0000 0.0000  12 Pt 2.86-2.91

VASP energy, eV per cell: -75.9
Mass density, g/cm3: 17.523
Energy of formation, eV/atom: -0.798

(9)
A relaxed TbIn4Pt2 crystal. Source: Alexandria, functional PBE.

Unit cell a=4.4631 b=7.3736 c=18.5684 alpha=90.00 beta=90.00 gamma=90.00
Closest atoms and distances in Å follow each position.
Atoms (fractional coordinates):
In: 0.7500 0.4991 0.5695  4 Pt 2.80-2.94
In: 0.7500 0.7562 0.3110  3 Pt 2.76, 2 In 2.97-3.05
In: 0.7500 0.1577 0.8129  4 Pt 2.74-2.77, 1 In 3.05
In: 0.7500 0.0009 0.0695  4 Pt 2.80-2.94
In: 0.7500 0.7438 0.8110  3 Pt 2.76, 2 In 2.97-3.05
In: 0.7500 0.6380 0.9655  3 Pt 2.79-2.86, 1 In 2.97
In: 0.2500 0.2438 0.6890  3 Pt 2.76, 2 In 2.97-3.05
In: 0.7500 0.8620 0.4655  3 Pt 2.79-2.86, 1 In 2.97
In: 0.2500 0.8423 0.1871  4 Pt 2.74-2.77, 1 In 3.05
In: 0.2500 0.6577 0.6871  4 Pt 2.74-2.77, 1 In 3.05
In: 0.2500 0.9991 0.9305  4 Pt 2.80-2.94
In: 0.2500 0.5009 0.4305  4 Pt 2.80-2.94
In: 0.2500 0.1380 0.5345  3 Pt 2.79-2.86, 1 In 2.97
In: 0.2500 0.3620 0.0345  3 Pt 2.79-2.86, 1 In 2.97
In: 0.2500 0.2562 0.1890  3 Pt 2.76, 2 In 2.97-3.05
In: 0.7500 0.3423 0.3129  4 Pt 2.74-2.77, 1 In 3.05
Pt: 0.2500 0.7494 0.0441  7 In 2.74-2.94
Pt: 0.7500 0.4494 0.7193  7 In 2.76-2.81
Pt: 0.2500 0.7506 0.5441  7 In 2.74-2.94
Pt: 0.7500 0.2494 0.4559  7 In 2.74-2.94
Pt: 0.2500 0.9494 0.7807  7 In 2.76-2.81
Pt: 0.2500 0.5506 0.2807  7 In 2.76-2.81
Pt: 0.7500 0.0506 0.2193  7 In 2.76-2.81
Pt: 0.7500 0.2506 0.9559  7 In 2.74-2.94
Tb: 0.2500 0.4525 0.8568  9 In 3.21-3.50, 4 Pt 3.25-3.39
Tb: 0.2500 0.0475 0.3568  9 In 3.21-3.50, 4 Pt 3.25-3.39
Tb: 0.7500 0.5475 0.1432  9 In 3.21-3.50, 4 Pt 3.25-3.39
Tb: 0.7500 0.9525 0.6432  9 In 3.21-3.50, 4 Pt 3.25-3.39

VASP energy, eV per cell: -128.1
Mass density, g/cm3: 10.961
Energy of formation, eV/atom: -0.622